[1]
The following is a PBE calculation of a relaxed La2Tb2Nd2Er crystal, from the Alexandria database.

Results
The value obtained for the calculated density is 7.29 Mg/m³. The formation energy comes out at 0.024 eV/atom.

Cell lengths 5.157, 6.297, 8.172 Å; angles 97.51, 90.00, 114.17 degrees
Atoms (fractional coordinates):
La (0.142, 0.284, 0.425)
La (0.858, 0.716, 0.575)
Tb (0.570, 0.140, 0.717)
Tb (0.430, 0.860, 0.283)
Nd (0.715, 0.430, 0.140)
Nd (0.285, 0.570, 0.860)
Er (0.000, 0.000, 0.000)

[2]
The following is a PBE calculation of a relaxed LaTb2NdEr5 crystal, from the Alexandria database.

Results
The value obtained for the calculated density is 8.13 Mg/m³. The formation energy comes out at 0.266 eV/atom.

Cell lengths 8.793, 8.793, 9.813 Å; angles 116.62, 116.62, 90.00 degrees
Atoms (fractional coordinates):
La (0.250, 0.250, 0.500)
La (0.750, 0.750, 0.500)
Tb (0.116, 0.384, 0.000)
Tb (0.616, 0.116, 0.000)
Tb (0.384, 0.884, 0.000)
Tb (0.884, 0.616, 0.000)
Nd (0.250, 0.750, 0.500)
Nd (0.750, 0.250, 0.500)
Er (0.928, 0.428, 0.264)
Er (0.663, 0.163, 0.736)
Er (0.072, 0.572, 0.736)
Er (0.163, 0.072, 0.736)
Er (0.572, 0.663, 0.736)
Er (0.837, 0.928, 0.264)
Er (0.428, 0.337, 0.264)
Er (0.337, 0.837, 0.264)
Er (0.500, 0.500, 0.000)
Er (0.000, 0.000, 0.000)

[3]
The following is a PBE calculation of a relaxed LaNdErTe3 crystal, from the Alexandria database.

Results
The value obtained for the calculated density is 7.06 Mg/m³. Its uncorrected energy is -5.235 eV/atom.

Cell lengths 4.495, 8.676, 10.637 Å; angles 109.11, 90.00, 90.00 degrees
Atoms (fractional coordinates):
La (0.250, 0.180, 0.226)
La (0.750, 0.820, 0.774)
Nd (0.250, 0.642, 0.114)
Nd (0.750, 0.358, 0.886)
Er (0.250, 0.144, 0.621)
Er (0.750, 0.856, 0.379)
Te (0.750, 0.898, 0.104)
Te (0.250, 0.102, 0.896)
Te (0.250, 0.768, 0.530)
Te (0.750, 0.232, 0.470)
Te (0.750, 0.458, 0.213)
Te (0.250, 0.542, 0.787)

[4]
The following is a PBE calculation of a relaxed La4Nd3ErTe8 crystal, from the Alexandria database.

Results
The value obtained for the calculated density is 6.92 Mg/m³. Its uncorrected energy is -5.463 eV/atom.

Cell lengths 9.055, 9.024, 9.059 Å; angles 120.15, 119.99, 90.00 degrees
Atoms (fractional coordinates):
La (0.500, 0.000, 0.000)
La (0.500, 0.000, 0.500)
La (0.000, 0.000, 0.000)
La (0.000, 0.000, 0.500)
Nd (0.500, 0.500, 0.000)
Nd (0.500, 0.500, 0.500)
Nd (0.000, 0.500, 0.500)
Er (0.000, 0.500, 0.000)
Te (0.243, 0.740, 0.997)
Te (0.243, 0.740, 0.486)
Te (0.252, 0.255, 0.503)
Te (0.754, 0.740, 0.997)
Te (0.246, 0.260, 0.003)
Te (0.748, 0.745, 0.497)
Te (0.757, 0.260, 0.514)
Te (0.757, 0.260, 0.003)